[1]
{
  "formula": "RbHg2Sb3",
  "functional": "GGA-PBE",
  "state": "relaxed",
  "cell": [[7.2711, 0.1036, 0.8136], [-0.1501, 8.3622, 0.1522], [1.4728, -0.1150, 7.1664]],
  "species": ["Hg", "Hg", "Rb", "Sb", "Rb", "Sb", "Sb", "Sb", "Sb", "Hg", "Hg", "Sb"],
  "frac_coords": [[0.2000, 0.9991, 0.7974], [0.7973, 0.5009, 0.2001], [0.6630, 0.7506, 0.6630], [0.8135, 0.2522, 0.4782], [0.3370, 0.2494, 0.3370], [0.1208, 0.7502, 0.1208], [0.5218, 0.7516, 0.1865], [0.4782, 0.2484, 0.8135], [0.8792, 0.2498, 0.8792], [0.8000, 0.0009, 0.2026], [0.2027, 0.4991, 0.7999], [0.1865, 0.7478, 0.5218]],
  "magmom_total_mub_per_cell": 0.0,
  "dos_ef_per_ev_fu": 2.07,
  "final_energy_ev_per_atom": -2.420,
  "spacegroup": "No. 2",
  "formation_energy_uncorrected_mev_per_atom": -97
}

[2]
{
  "formula": "CaCo2W",
  "functional": "GGA-PBE",
  "state": "relaxed",
  "cell": [[0.0000, 3.1251, 3.1251], [3.1251, 0.0000, 3.1251], [3.1251, 3.1251, 0.0000]],
  "species": ["W", "Co", "Co", "Ca"],
  "frac_coords": [[0.5000, 0.5000, 0.5000], [0.7500, 0.7500, 0.7500], [0.2500, 0.2500, 0.2500], [0.0000, 0.0000, 0.0000]],
  "magmom_total_mub_per_cell": 2.0,
  "e_above_lowest_polymorph_ev_per_fu": 1.42,
  "dos_ef_per_ev_fu": 1.05,
  "final_energy_ev_per_atom": -6.744,
  "spacegroup": "No. 225",
  "ef_ev_per_atom": 0.547
}

Which formula does entry 1 have?
RbHg2Sb3